Entry from OQMD via LeMat-Bulk: a relaxed Ta4BiSbN2 crystal (PBE-GGA).

Calculated values
The total DFT energy (no corrections) is -74.0 eV per cell. For the total magnetic moment, the calculation gives 0.001 μB per atom. The space group is P-6m2. As for the crystal system: hexagonal.

Lattice parameters (Å, degrees): 3.394 3.394 13.085 90.00 90.00 120.00
Sites, in units of the cell vectors:
Ta  0.000  0.000  0.165
Ta  0.000  0.000  0.835
Ta  0.667  0.333  0.321
Ta  0.667  0.333  0.679
Bi  0.000  0.000  0.500
Sb  0.667  0.333  0.000
N  0.333  0.667  0.245
N  0.333  0.667  0.755



Entry from OQMD via LeMat-Bulk: a relaxed LiSn5Ir3 crystal (PBE-GGA).

Calculated values
The total DFT energy (no corrections) is -49.2 eV per cell. For the total magnetic moment, the calculation gives 0.001 μB per atom. The space group is P6/mmm. As for the crystal system: hexagonal.

Lattice parameters (Å, degrees): 5.581 5.581 7.746 90.00 90.00 120.00
Sites, in units of the cell vectors:
Li  0.000  0.000  0.000
Sn  0.000  0.000  0.500
Sn  0.333  0.667  0.209
Sn  0.333  0.667  0.791
Sn  0.667  0.333  0.209
Sn  0.667  0.333  0.791
Ir  0.000  0.500  0.500
Ir  0.500  0.000  0.500
Ir  0.500  0.500  0.500



Entry from OQMD via LeMat-Bulk: a relaxed NdLuNO crystal (PBE-GGA).

Calculated values
The total DFT energy (no corrections) is -62.6 eV per cell. For the total magnetic moment, the calculation gives 0.002 μB per atom. The space group is Pmc2_1. As for the crystal system: orthorhombic.

Lattice parameters (Å, degrees): 3.994 6.957 4.904 90.00 90.00 90.00
Sites, in units of the cell vectors:
Nd  0.000  0.164  0.000
Nd  0.000  0.836  0.500
Lu  0.500  0.337  0.500
Lu  0.500  0.663  0.000
N  0.500  0.349  0.999
N  0.500  0.651  0.499
O  0.000  0.203  0.500
O  0.000  0.797  0.000



Which value of total DFT energy (no corrections) does entry 2 give?
-49.2 eV per cell



Which formula does entry 2 have?
LiSn5Ir3